VASP calculation (GGA-PBE) on an optimized crystal structure of ZrTcP2Au.

Values from the calculation:
space group = P4/mmm (123)
E_form = 1.24 eV/atom
density of states at the Fermi level = 6.3 states/eV/f.u.

a b c (Å): 4.6755 4.6755 4.9112
angles (deg): 90.00 90.00 90.00
Closest atoms and distances in Å follow each position.
Positions (direct):
Zr: 0.0000 0.0000 0.0000  4 Tc 3.31, 8 P 3.39
Tc: 0.5000 0.5000 0.0000  2 Au 2.46
P: 0.0000 0.5000 0.5000  2 Au 2.34
P: 0.5000 0.0000 0.5000  2 Au 2.34
Au: 0.5000 0.5000 0.5000  4 P 2.34, 2 Tc 2.46